Record 1
A relaxed structure of Tm4ThBi2, computed with PBE.

Summary:
Volume ... 253.4 Å³/f.u.
Crystal system ... tetragonal
Space-group type ... I4/mmm
Energy of formation from the pure elements ... 0.552 eV per atom

Cell lengths 9.1407, 9.1407, 9.1407 Å; angles 144.72, 144.72, 50.74 degrees
Fractional coordinates of all 7 atoms:
Tm: 0.0000 0.5000 0.5000
Tm: 0.1861 0.1861 0.0000
Tm: 0.5000 0.0000 0.5000
Tm: 0.8139 0.8139 0.0000
Th: 0.0000 0.0000 0.0000
Bi: 0.3712 0.3712 0.0000
Bi: 0.6288 0.6288 0.0000

Record 2
A relaxed structure of ReBrCl2, computed with PBE.

Summary:
Polymorph energy (0 for the lowest one) ... 33.9 kJ per mole of atoms
Volume ... 97.5 Å³/f.u.
Crystal system ... trigonal
Formation energy without anion corrections ... 0.8 eV per formula unit
Space-group type ... R-3m

Cell lengths 12.6149, 12.6149, 12.6149 Å; angles 13.66, 13.66, 13.66 degrees
Fractional coordinates of all 4 atoms:
Re: 0.0000 0.0000 0.0000
Br: 0.5000 0.5000 0.5000
Cl: 0.0591 0.0591 0.0591
Cl: 0.9409 0.9409 0.9409

Record 3
A relaxed structure of Zr2NpPd, computed with PBE.

Summary:
Polymorph energy (0 for the lowest one) ... 2.4 kJ per mole of atoms
Volume ... 80.4 Å³/f.u.
Crystal system ... tetragonal
Space-group type ... P4/mmm
Energy of formation from the pure elements ... -0.092 eV per atom

Cell lengths 5.0907, 5.0907, 3.1038 Å; angles 90.00, 90.00, 90.00 degrees
Fractional coordinates of all 4 atoms:
Zr: 0.0000 0.5000 0.0000
Zr: 0.5000 0.0000 0.0000
Np: 0.0000 0.0000 0.5000
Pd: 0.5000 0.5000 0.5000

Record 4
A relaxed structure of HfTi2Rh5, computed with PBE.

Summary:
Volume ... 122.8 Å³/f.u.
Crystal system ... orthorhombic
Space-group type ... Pbam
Energy of formation from the pure elements ... -0.778 eV per atom

Cell lengths 5.4976, 10.7278, 4.1657 Å; angles 90.00, 90.00, 90.00 degrees
Fractional coordinates of all 16 atoms:
Hf: 0.0000 0.0000 0.0000
Hf: 0.5000 0.5000 0.0000
Ti: 0.1599 0.3534 0.5000
Ti: 0.3401 0.8534 0.5000
Ti: 0.6599 0.1466 0.5000
Ti: 0.8401 0.6466 0.5000
Rh: 0.0000 0.5000 0.0000
Rh: 0.0980 0.7587 0.0000
Rh: 0.1977 0.1118 0.5000
Rh: 0.3023 0.6118 0.5000
Rh: 0.4020 0.2587 0.0000
Rh: 0.5000 0.0000 0.0000
Rh: 0.5980 0.7413 0.0000
Rh: 0.6977 0.3882 0.5000
Rh: 0.8023 0.8882 0.5000
Rh: 0.9020 0.2413 0.0000

| no. | electronic total energy (eV/atom) |
| --- | --- |
| 1 | -4.172 |
| 2 | -4.266 |
| 3 | -8.900 |
| 4 | -8.591 |